Entry P
A relaxed SnMo3Se crystal. Source: Alexandria, functional PBE.

## Properties
DOS(E_F) ... 1.59 states/eV/atom
Total moment ... 0.00 μB/cell

The structure in POSCAR format:
```
SnMo3Se
1.0
4.945 0.000 0.000
0.000 4.945 0.000
0.000 0.000 4.945
Mo Sn Se
3 1 1
Direct
0.000 0.500 0.000
0.000 0.000 0.500
0.500 0.000 0.000
0.000 0.000 0.000
0.500 0.500 0.500
```


Entry Q
A relaxed SnMo3Se crystal. Source: Alexandria, functional PBE.

## Properties
DOS(E_F) ... 0.95 states/eV/atom
Total moment ... 0.00 μB/cell

The structure in POSCAR format:
```
SnMo3Se
1.0
-2.025 1.313 -3.950
-0.596 -4.439 -1.169
-4.120 -0.003 2.111
Mo Sn Se
3 1 1
Direct
0.000 0.500 0.000
0.000 0.000 0.500
0.500 0.000 0.000
0.500 0.500 0.500
0.000 0.000 0.000
```


What should be chosen as the most stable of them? Choose entry Q.


Entry P
A relaxed Sn2MoSe2 crystal. Source: Alexandria, functional PBE.

## Properties
DOS(E_F) ... 0.60 states/eV/atom
Total moment ... 0.00 μB/cell

The structure in POSCAR format:
```
Sn2MoSe2
1.0
-3.994 4.725 1.851
-4.326 -4.402 1.903
2.437 -0.058 5.406
Sn Se Mo
4 4 2
Direct
0.277 0.777 0.500
0.777 0.723 0.500
0.723 0.223 0.500
0.223 0.277 0.500
0.651 0.151 0.000
0.151 0.349 0.000
0.349 0.849 0.000
0.849 0.651 0.000
0.500 0.500 0.000
0.000 0.000 0.000
```


Entry Q
A relaxed Sn2MoSe2 crystal. Source: Alexandria, functional PBE.

## Properties
DOS(E_F) ... 0.70 states/eV/atom
Total moment ... 3.42 μB/cell

The structure in POSCAR format:
```
Sn2MoSe2
1.0
-2.720 0.631 2.759
-2.695 -1.746 -2.257
-0.890 -7.825 3.704
Sn Se Mo
2 2 1
Direct
0.750 0.250 0.500
0.250 0.750 0.500
0.585 0.585 0.829
0.415 0.415 0.171
0.000 0.000 0.000
```


What should be chosen as the most stable of them? Choose entry P.


Entry P
A relaxed SrMo3Se crystal. Source: Alexandria, functional PBE.

## Properties
DOS(E_F) ... 2.33 states/eV/atom
Total moment ... 0.00 μB/cell

The structure in POSCAR format:
```
SrMo3Se
1.0
4.855 0.000 0.000
0.000 4.855 0.000
0.000 0.000 4.855
Se Mo Sr
1 3 1
Direct
0.500 0.500 0.500
0.500 0.000 0.000
0.000 0.500 0.000
0.000 0.000 0.500
0.000 0.000 0.000
```


Entry Q
A relaxed SrMo3Se crystal. Source: Alexandria, functional PBE.

## Properties
DOS(E_F) ... 1.08 states/eV/atom
Total moment ... 0.00 μB/cell

The structure in POSCAR format:
```
SrMo3Se
1.0
4.774 0.000 0.000
0.000 4.774 0.000
0.000 0.000 4.774
Mo Se Sr
3 1 1
Direct
0.500 0.000 0.000
0.000 0.500 0.000
0.000 0.000 0.500
0.000 0.000 0.000
0.500 0.500 0.500
```


What should be chosen as the most stable of them? Choose entry Q.


Entry P
A relaxed TaMoSe2 crystal. Source: Alexandria, functional PBE.

## Properties
DOS(E_F) ... 0.85 states/eV/atom
Total moment ... 0.00 μB/cell

The structure in POSCAR format:
```
TaMoSe2
1.0
5.123 0.057 -0.025
-1.897 4.759 -0.025
1.032 1.541 2.922
Se Ta Mo
2 1 1
Direct
0.500 0.500 0.000
0.000 0.000 0.000
0.500 0.000 0.500
0.000 0.500 0.500
```


Entry Q
A relaxed TaMoSe2 crystal. Source: Alexandria, functional PBE.

## Properties
DOS(E_F) ... 0.42 states/eV/atom
Total moment ... 0.00 μB/cell

The structure in POSCAR format:
```
TaMoSe2
1.0
-0.731 -1.153 -4.580
-3.378 -1.908 -2.791
-2.364 3.876 -1.862
Mo Se Ta
1 2 1
Direct
0.741 0.741 0.768
0.240 0.240 0.354
0.007 0.007 0.965
0.511 0.511 0.414
```


Entry R
A relaxed TaMoSe2 crystal. Source: Alexandria, functional PBE.

## Properties
DOS(E_F) ... 0.65 states/eV/atom
Total moment ... 0.00 μB/cell

The structure in POSCAR format:
```
TaMoSe2
1.0
-2.227 -0.951 -3.664
-2.248 -3.383 -1.669
-5.100 1.199 1.408
Se Mo Ta
2 1 1
Direct
0.002 0.002 0.995
0.498 0.498 0.505
0.750 0.750 0.750
0.250 0.250 0.250
```


What should be chosen as the most stable of them? Choose entry Q.


Entry P
A relaxed TaMoSe2 crystal. Source: Alexandria, functional PBE.

## Properties
DOS(E_F) ... 0.28 states/eV/atom
Total moment ... 0.00 μB/cell

The structure in POSCAR format:
```
TaMoSe2
1.0
-2.828 2.979 -0.436
-2.243 -2.327 -1.355
-2.302 -1.292 6.098
Ta Se Mo
1 2 1
Direct
0.000 0.375 0.611
0.000 0.877 0.900
0.500 0.373 0.353
0.500 0.875 0.636
```


Entry Q
A relaxed TaMoSe2 crystal. Source: Alexandria, functional PBE.

## Properties
DOS(E_F) ... 0.97 states/eV/atom
Total moment ... 0.00 μB/cell

The structure in POSCAR format:
```
TaMoSe2
1.0
-0.634 1.289 2.799
-0.664 -2.847 1.161
7.856 -0.932 2.208
Ta Mo Se
1 1 2
Direct
0.000 0.000 0.505
0.500 0.500 0.757
0.000 0.000 0.914
0.500 0.500 0.324
```


What should be chosen as the most stable of them? Choose entry P.


Entry P
A relaxed TaMoSe2 crystal. Source: Alexandria, functional PBE.

## Properties
DOS(E_F) ... 0.69 states/eV/atom
Total moment ... 0.00 μB/cell

The structure in POSCAR format:
```
TaMoSe2
1.0
4.203 0.000 0.000
0.000 3.503 -0.025
0.000 0.406 4.905
Se Mo Ta
2 1 1
Direct
0.000 0.987 0.995
0.000 0.513 0.505
0.500 0.750 0.750
0.500 0.250 0.250
```


Entry Q
A relaxed TaMoSe2 crystal. Source: Alexandria, functional PBE.

## Properties
DOS(E_F) ... 0.96 states/eV/atom
Total moment ... 0.00 μB/cell

The structure in POSCAR format:
```
TaMoSe2
1.0
-1.913 -0.895 2.338
0.934 -5.187 -1.222
3.719 -3.460 1.717
Mo Ta Se
1 1 2
Direct
0.000 0.000 0.500
0.500 0.500 0.500
0.000 0.000 0.000
0.500 0.500 0.000
```


What should be chosen as the most stable of them? Choose entry Q.


Entry P
A relaxed TaMoSe2 crystal. Source: Alexandria, functional PBE.

## Properties
DOS(E_F) ... 1.21 states/eV/atom
Total moment ... 0.00 μB/cell

The structure in POSCAR format:
```
TaMoSe2
1.0
0.924 -3.837 2.191
-1.912 -0.829 4.004
-3.158 -3.203 0.373
Mo Ta Se
1 1 2
Direct
0.000 0.000 0.000
0.500 0.500 0.500
0.750 0.750 0.750
0.250 0.250 0.250
```


Entry Q
A relaxed TaMoSe2 crystal. Source: Alexandria, functional PBE.

## Properties
DOS(E_F) ... 0.60 states/eV/atom
Total moment ... 0.00 μB/cell

The structure in POSCAR format:
```
TaMoSe2
1.0
5.657 -0.005 0.007
2.984 4.806 -0.007
-3.869 -3.212 2.590
Se Mo Ta
2 1 1
Direct
0.736 0.236 0.500
0.021 0.021 0.000
0.226 0.726 0.500
0.517 0.517 0.000
```


What should be chosen as the most stable of them? Choose entry P.


Entry P
A relaxed TaMoSe4 crystal. Source: Alexandria, functional PBE.

## Properties
DOS(E_F) ... 0.23 states/eV/atom
Total moment ... 0.00 μB/cell

The structure in POSCAR format:
```
TaMoSe4
1.0
-1.493 0.400 -6.333
-4.901 -1.740 3.935
3.132 7.716 2.268
Se Mo Ta
8 2 2
Direct
0.232 0.905 0.600
0.422 0.618 0.841
0.258 0.552 0.370
0.050 0.860 0.124
0.950 0.140 0.876
0.578 0.382 0.159
0.768 0.095 0.400
0.742 0.448 0.630
0.226 0.882 0.890
0.774 0.118 0.110
0.319 0.671 0.112
0.681 0.329 0.888
```


Entry Q
A relaxed TaMoSe4 crystal. Source: Alexandria, functional PBE.

## Properties
DOS(E_F) ... 0.52 states/eV/atom
Total moment ... 0.00 μB/cell

The structure in POSCAR format:
```
TaMoSe4
1.0
3.402 -0.003 -0.001
-1.697 6.947 -1.070
0.001 0.073 5.873
Mo Se Ta
1 4 1
Direct
0.500 0.000 0.500
0.622 0.244 0.873
0.879 0.759 0.622
0.378 0.756 0.127
0.120 0.241 0.378
0.000 0.000 0.000
```


What should be chosen as the most stable of them? Choose entry Q.


Entry P
A relaxed TaMo3Se crystal. Source: Alexandria, functional PBE.

## Properties
DOS(E_F) ... 1.89 states/eV/atom
Total moment ... 0.00 μB/cell

The structure in POSCAR format:
```
TaMo3Se
1.0
-1.660 -2.926 -3.079
4.173 -0.507 -1.767
0.791 -3.461 2.862
Mo Ta Se
3 1 1
Direct
0.000 0.000 0.500
0.000 0.500 0.000
0.500 0.000 0.000
0.500 0.500 0.500
0.000 0.000 0.000
```


Entry Q
A relaxed TaMo3Se crystal. Source: Alexandria, functional PBE.

## Properties
DOS(E_F) ... 1.31 states/eV/atom
Total moment ... 1.28 μB/cell

The structure in POSCAR format:
```
TaMo3Se
1.0
-0.809 2.671 3.923
-0.195 -3.995 2.680
4.742 0.291 0.779
Ta Se Mo
1 1 3
Direct
0.000 0.000 0.000
0.500 0.500 0.500
0.500 0.000 0.000
0.000 0.000 0.500
0.000 0.500 0.000
```


What should be chosen as the most stable of them? Choose entry P.


Entry P
A relaxed Tc2Mo2Se crystal. Source: Alexandria, functional PBE.

## Properties
DOS(E_F) ... 1.00 states/eV/atom
Total moment ... 0.00 μB/cell

The structure in POSCAR format:
```
Tc2Mo2Se
1.0
-2.966 -2.108 -1.224
1.684 -0.379 -3.429
2.246 -6.463 -0.333
Mo Se Tc
2 1 2
Direct
0.620 0.620 0.761
0.380 0.380 0.239
0.000 0.000 0.000
0.250 0.750 0.500
0.750 0.250 0.500
```


Entry Q
A relaxed Tc2Mo2Se crystal. Source: Alexandria, functional PBE.

## Properties
DOS(E_F) ... 0.62 states/eV/atom
Total moment ... 0.00 μB/cell

The structure in POSCAR format:
```
Tc2Mo2Se
1.0
-7.342 -0.356 -1.621
1.454 -4.929 -5.501
-0.313 -2.221 1.907
Tc Mo Se
4 4 2
Direct
0.364 0.136 0.500
0.636 0.864 0.500
0.864 0.364 0.500
0.136 0.636 0.500
0.346 0.846 0.000
0.846 0.654 0.000
0.654 0.154 0.000
0.154 0.346 0.000
0.500 0.500 0.000
0.000 0.000 0.000
```


What should be chosen as the most stable of them? Choose entry Q.


Entry P
A relaxed Tc3MoSe crystal. Source: Alexandria, functional PBE.

## Properties
DOS(E_F) ... 1.05 states/eV/atom
Total moment ... 1.22 μB/cell

The structure in POSCAR format:
```
Tc3MoSe
1.0
4.695 0.000 0.000
0.000 4.695 0.000
0.000 0.000 4.695
Tc Se Mo
3 1 1
Direct
0.500 0.000 0.000
0.000 0.000 0.500
0.000 0.500 0.000
0.500 0.500 0.500
0.000 0.000 0.000
```


Entry Q
A relaxed Tc3MoSe crystal. Source: Alexandria, functional PBE.

## Properties
DOS(E_F) ... 1.27 states/eV/atom
Total moment ... 0.00 μB/cell

The structure in POSCAR format:
```
Tc3MoSe
1.0
4.471 0.000 0.000
0.000 4.471 0.000
0.000 0.000 4.471
Tc Mo Se
3 1 1
Direct
0.500 0.000 0.000
0.000 0.000 0.500
0.000 0.500 0.000
0.500 0.500 0.500
0.000 0.000 0.000
```


What should be chosen as the most stable of them? Choose entry Q.


Entry P
A relaxed TcMo3Se crystal. Source: Alexandria, functional PBE.

## Properties
DOS(E_F) ... 0.70 states/eV/atom
Total moment ... 0.00 μB/cell

The structure in POSCAR format:
```
TcMo3Se
1.0
-0.233 -4.372 -1.175
1.172 -1.195 4.213
-4.373 -0.087 1.192
Tc Se Mo
1 1 3
Direct
0.500 0.500 0.500
0.000 0.000 0.000
0.000 0.500 0.000
0.000 0.000 0.500
0.500 0.000 0.000
```


Entry Q
A relaxed TcMo3Se crystal. Source: Alexandria, functional PBE.

## Properties
DOS(E_F) ... 1.28 states/eV/atom
Total moment ... 0.76 μB/cell

The structure in POSCAR format:
```
TcMo3Se
1.0
-2.161 1.054 4.059
3.604 -1.868 2.404
2.144 4.202 0.051
Mo Tc Se
3 1 1
Direct
0.500 0.000 0.000
0.000 0.000 0.500
0.000 0.500 0.000
0.000 0.000 0.000
0.500 0.500 0.500
```


What should be chosen as the most stable of them? Choose entry P.